# GdHoZr2Ge2, relaxed, DFT GGA-PBE
data_GdHoZr2Ge2
_space_group_name_H-M_alt 'P 1'
_space_group_IT_number 1
_space_group_name_Hall 'P 1'
_cell_length_a 4.1966
_cell_length_b 4.1966
_cell_length_c 7.9450
_cell_angle_alpha 90.00
_cell_angle_beta 90.00
_cell_angle_gamma 90.00
loop_
_atom_site_label
_atom_site_type_symbol
_atom_site_fract_x
_atom_site_fract_y
_atom_site_fract_z
Ho1 Ho 0.5000 0.5000 0.6550
Zr1 Zr 0.0000 0.5000 0.9989
Zr2 Zr 0.5000 0.0000 0.9989
Ge1 Ge 0.5000 0.5000 0.2609
Ge2 Ge 0.0000 0.0000 0.7373
Gd1 Gd 0.0000 0.0000 0.3491
# Raw total energy = -6.63 eV/atom